Entry 1:
Tc2PbSBr PBE optimized geometry; total magnetic moment = 7.70 μB/f.u.; raw formation energy = 1958.6 meV per atom; SG = P4/mmm, No. 123; DOS(E_F) = 1.11 states/eV per atom; crystal system = tetragonal
1.0
-1.428 3.250 4.159
-4.933 -2.196 0.022
1.705 -3.793 3.549
Pb Tc Br S
1 2 1 1
Cartesian
0.000 0.000 0.000
0.852 -1.897 1.775
-0.714 1.625 2.079
-2.466 -1.098 0.011
-2.328 -1.370 3.865

Entry 2:
HfRu3Br PBE optimized geometry; total magnetic moment = 1.06 μB/f.u.; polymorph energy (0 for the lowest one) = 0.000 eV per atom; raw formation energy = 1090.3 meV per atom; SG = Pm-3m, No. 221; DOS(E_F) = 1.36 states/eV per atom; crystal system = cubic
1.0
-1.695 -4.074 1.027
3.582 -1.981 -1.942
2.196 0.085 3.962
Ru Hf Br
3 1 1
Cartesian
1.791 -0.990 -0.971
1.098 0.043 1.981
-0.848 -2.037 0.514
2.041 -2.985 1.523
0.000 0.000 0.000

Entry 3:
CuSn2Ge PBE optimized geometry; total magnetic moment = 0.00 μB/f.u.; formation enthalpy at 0 K = 0.247 eV per atom; SG = I-42d, No. 122; DOS(E_F) = 0.49 states/eV per atom; crystal system = tetragonal
1.0
-2.776 -3.687 2.380
-1.033 -2.188 -4.594
4.431 -7.290 -0.458
Sn Cu Ge
4 2 2
Cartesian
-0.008 -3.814 -2.583
1.849 -7.768 -1.378
-0.633 -4.237 0.693
0.036 -10.511 -2.078
-1.905 -2.938 -1.107
0.747 -6.208 -3.080
0.000 0.000 0.000
-0.125 -6.957 0.407

Entry 4:
Tb3CeGa3 PBE optimized geometry; total magnetic moment = 1.19 μB/f.u.; formation enthalpy at 0 K = -0.382 eV per atom; SG = P6_3/m, No. 176; DOS(E_F) = 1.63 states/eV per atom; crystal system = hexagonal
1.0
-4.763 -0.607 -0.719
0.075 -7.269 5.646
-1.581 8.421 3.361
Tb Ce Ga
6 2 6
Cartesian
-3.878 -5.597 5.837
-1.575 0.243 2.034
-2.390 6.142 2.451
-2.694 2.733 7.343
-3.575 -2.188 0.945
-4.694 0.302 6.254
-1.668 -2.191 4.704
-4.601 2.736 3.584
-4.369 -2.652 6.602
-2.115 1.002 4.972
-4.154 -0.457 3.316
-2.645 4.919 5.170
-1.899 3.197 1.686
-3.624 -4.374 3.118